1.
{"formula": "LiAcPmSn", "functional": "PBE-GGA", "state": "optimized geometry", "formation_energy_ev_per_atom": -0.373, "energy_ev_per_cell": -16.27, "dos_ef_per_ev_atom": 0.800, "cell": [[5.551, 0.000, 0.000], [2.776, 4.807, 0.000], [2.776, 1.602, 4.532]], "species": ["Ac", "Li", "Sn", "Pm"], "frac_coords": [[0.500, 0.500, 0.500], [0.250, 0.250, 0.250], [0.750, 0.750, 0.750], [0.000, 0.000, 0.000]]}

=====

2.
{"formula": "LiAcTbPm", "functional": "PBE-GGA", "state": "optimized geometry", "formation_energy_ev_per_atom": 0.243, "energy_ev_per_cell": -14.43, "dos_ef_per_ev_atom": 1.047, "cell": [[5.755, 0.000, 0.000], [2.878, 4.984, 0.000], [2.878, 1.661, 4.699]], "species": ["Tb", "Pm", "Li", "Ac"], "frac_coords": [[0.750, 0.750, 0.750], [0.250, 0.250, 0.250], [0.000, 0.000, 0.000], [0.500, 0.500, 0.500]]}

=====

3.
{"formula": "LiAcPm2Te4", "functional": "PBE-GGA", "state": "optimized geometry", "energy_ev_per_cell": -39.13, "e_form_raw_mev_per_atom": -1380, "dos_ef_per_ev_atom": 0.382, "cell": [[4.502, 0.000, 0.000], [0.000, 7.746, 0.121], [0.000, -2.723, 7.486]], "species": ["Te", "Te", "Ac", "Pm", "Li", "Te", "Te", "Pm"], "frac_coords": [[0.000, 0.261, 0.750], [0.500, 0.265, 0.257], [0.000, 0.000, 0.000], [0.000, 0.500, 0.500], [0.500, 0.500, 0.000], [0.500, 0.735, 0.743], [0.000, 0.739, 0.250], [0.500, 0.000, 0.500]]}

=====

4.
{"formula": "LiAc3Pm2Te6", "functional": "PBE-GGA", "state": "optimized geometry", "energy_ev_per_cell": -59.68, "e_form_raw_mev_per_atom": -1424, "dos_ef_per_ev_atom": 0.371, "cell": [[4.603, 0.000, 0.000], [0.000, 9.118, 0.389], [-2.301, -2.559, 9.637]], "species": ["Te", "Ac", "Pm", "Te", "Ac", "Te", "Te", "Te", "Li", "Pm", "Te", "Ac"], "frac_coords": [[0.331, 0.422, 0.662], [0.500, 0.500, 0.000], [0.831, 0.658, 0.662], [0.005, 0.233, 0.009], [0.833, 0.165, 0.667], [0.341, 0.906, 0.681], [0.669, 0.578, 0.338], [0.995, 0.767, 0.991], [0.500, 0.000, 0.000], [0.169, 0.342, 0.338], [0.659, 0.094, 0.319], [0.167, 0.835, 0.333]]}

=====

5.
{"formula": "LiAc2PmTe4", "functional": "PBE-GGA", "state": "optimized geometry", "energy_ev_per_cell": -38.70, "e_form_raw_mev_per_atom": -1406, "dos_ef_per_ev_atom": 0.376, "cell": [[4.591, 0.000, 0.000], [0.000, 7.830, -0.105], [0.000, 2.802, 7.516]], "species": ["Ac", "Te", "Pm", "Li", "Ac", "Te", "Te", "Te"], "frac_coords": [[0.000, 0.000, 0.000], [0.000, 0.275, 0.236], [0.000, 0.500, 0.500], [0.500, 0.500, 0.000], [0.500, 0.000, 0.500], [0.000, 0.725, 0.764], [0.500, 0.272, 0.750], [0.500, 0.728, 0.250]]}

=====

6.
{"formula": "LiAc3Pm4Te8", "functional": "PBE-GGA", "state": "optimized geometry", "energy_ev_per_cell": -80.93, "e_form_raw_mev_per_atom": -1409, "dos_ef_per_ev_atom": 0.586, "cell": [[-4.967, 7.065, 2.856], [-6.349, -5.772, 3.237], [8.653, -0.853, 2.672]], "species": ["Te", "Te", "Pm", "Te", "Ac", "Pm", "Te", "Te", "Pm", "Te", "Te", "Ac", "Te", "Pm", "Ac", "Li"], "frac_coords": [[0.235, 0.243, 0.989], [0.246, 0.757, 0.011], [0.500, 0.000, 0.500], [0.765, 0.757, 0.011], [0.500, 0.500, 0.000], [0.500, 0.000, 0.000], [0.244, 0.233, 0.489], [0.754, 0.243, 0.989], [0.000, 0.000, 0.500], [0.246, 0.757, 0.492], [0.754, 0.243, 0.508], [0.500, 0.500, 0.500], [0.756, 0.767, 0.511], [0.000, 0.000, 0.000], [0.000, 0.500, 0.500], [0.000, 0.500, 0.000]]}

=====

7.
{"formula": "LiAc2Pm3Te6", "functional": "PBE-GGA", "state": "optimized geometry", "energy_ev_per_cell": -60.10, "e_form_raw_mev_per_atom": -1406, "dos_ef_per_ev_atom": 0.525, "cell": [[-1.538, -7.030, -3.112], [6.181, 0.951, 4.730], [-5.845, 0.373, 5.373]], "species": ["Pm", "Li", "Ac", "Te", "Te", "Pm", "Te", "Ac", "Te", "Te", "Te", "Pm"], "frac_coords": [[0.500, 0.500, 0.500], [0.000, 0.000, 0.000], [0.336, 0.664, 0.000], [0.601, 0.917, 0.746], [0.083, 0.399, 0.254], [0.827, 0.173, 0.500], [0.772, 0.772, 0.260], [0.664, 0.336, 0.000], [0.917, 0.601, 0.746], [0.399, 0.083, 0.254], [0.228, 0.228, 0.740], [0.173, 0.827, 0.500]]}

=====

8.
{"formula": "Li2AcPmTl2", "functional": "PBE-GGA", "state": "optimized geometry", "formation_energy_ev_per_atom": -0.275, "energy_ev_per_cell": -19.07, "dos_ef_per_ev_atom": 1.401, "cell": [[4.995, 0.000, 0.000], [-2.497, 4.326, 0.000], [0.000, 0.000, 7.678]], "species": ["Li", "Li", "Tl", "Tl", "Pm", "Ac"], "frac_coords": [[0.333, 0.667, 0.704], [0.667, 0.333, 0.296], [0.667, 0.333, 0.719], [0.333, 0.667, 0.281], [0.000, 0.000, 0.500], [0.000, 0.000, 0.000]]}

=====

9.
{"formula": "Li2AcPmTl4", "functional": "PBE-GGA", "state": "optimized geometry", "formation_energy_ev_per_atom": -0.320, "energy_ev_per_cell": -24.71, "dos_ef_per_ev_atom": 0.267, "cell": [[5.331, 0.000, 0.000], [2.666, 4.617, 0.000], [2.666, 1.539, 9.011]], "species": ["Tl", "Tl", "Tl", "Ac", "Pm", "Li", "Li", "Tl"], "frac_coords": [[0.127, 0.127, 0.620], [0.873, 0.873, 0.380], [0.618, 0.618, 0.146], [0.000, 0.000, 0.000], [0.500, 0.500, 0.500], [0.246, 0.246, 0.262], [0.754, 0.754, 0.738], [0.382, 0.382, 0.854]]}

=====

10.
{"formula": "LiAcPmTl", "functional": "PBE-GGA", "state": "optimized geometry", "formation_energy_ev_per_atom": -0.168, "energy_ev_per_cell": -13.81, "dos_ef_per_ev_atom": 1.054, "e_above_lowest_polymorph_mev_per_atom": 0, "cell": [[5.609, 0.000, 0.000], [2.805, 4.858, 0.000], [2.805, 1.619, 4.580]], "species": ["Tl", "Pm", "Li", "Ac"], "frac_coords": [[0.500, 0.500, 0.500], [0.750, 0.750, 0.750], [0.000, 0.000, 0.000], [0.250, 0.250, 0.250]]}

=====

11.
{"formula": "LiAcPmTl", "functional": "PBE-GGA", "state": "optimized geometry", "formation_energy_ev_per_atom": -0.163, "energy_ev_per_cell": -13.79, "dos_ef_per_ev_atom": 1.026, "e_above_lowest_polymorph_mev_per_atom": 6, "cell": [[4.441, 0.000, 0.000], [0.000, 5.173, 0.000], [0.000, 0.000, 5.352]], "species": ["Ac", "Pm", "Li", "Tl"], "frac_coords": [[0.500, 0.500, 0.000], [0.500, 0.000, 0.500], [0.000, 0.000, 0.000], [0.000, 0.500, 0.500]]}

=====

12.
{"formula": "Li2Ac2PmTl2", "functional": "PBE-GGA", "state": "optimized geometry", "formation_energy_ev_per_atom": -0.207, "energy_ev_per_cell": -22.98, "dos_ef_per_ev_atom": 0.887, "cell": [[-4.257, 0.320, -2.568], [-3.714, -3.187, 0.928], [-6.282, 5.245, 6.236]], "species": ["Pm", "Ac", "Ac", "Tl", "Tl", "Li", "Li"], "frac_coords": [[0.000, 0.000, 0.000], [0.123, 0.123, 0.630], [0.877, 0.877, 0.370], [0.727, 0.727, 0.819], [0.273, 0.273, 0.181], [0.616, 0.616, 0.152], [0.384, 0.384, 0.848]]}